## CdPb2WI (PBE-GGA)

Data for a relaxed structure of CdPb2WI.

Summary:
DOS(E_F) ... 0.904 states/eV per atom
E_form (uncorrected) ... 1.821 eV/atom
Mass density ... 6.97 Mg/m³

abc: 5.984 5.576 5.984
angles: 90.00 90.00 90.00
Element x y z (fractional)
I: 0.000 0.000 0.000
Pb: 0.500 0.000 0.000
Pb: 0.000 0.000 0.500
W: 0.500 0.500 0.500
Cd: 0.000 0.500 0.000